# 1
Density functional theory data (PBE-GGA) for an optimized crystal structure of Li2ZrP.

The calculation puts the formation energy at -0.383 eV/atom. Its symmetry is P4mm (99). As for the total energy: -19.3 eV/cell.

Cell lengths 3.523, 3.523, 6.074 Å; angles 90.00, 90.00, 90.00 degrees
Site moments in Bohr magnetons follow the coordinates.
Sites, in units of the cell vectors:
Li 0.000 0.000 0.009  0.04
Li 0.500 0.500 0.232  0.01
P 0.000 0.000 0.557  -0.01
Zr 0.500 0.500 0.702  0.35



# 2
Density functional theory data (PBE-GGA) for an optimized crystal structure of LiZr2P2.

The calculation puts the formation energy at -0.487 eV/atom. Its symmetry is I4/mmm (139). As for the total energy: -32.3 eV/cell.

Cell lengths 4.979, 4.979, 5.726 Å; angles 64.22, 64.22, 90.00 degrees
Sites, in units of the cell vectors:
P 0.750 0.250 0.500
P 0.250 0.750 0.500
Zr 0.320 0.320 0.359
Zr 0.680 0.680 0.641
Li 0.000 0.000 0.000



# 3
Density functional theory data (PBE-GGA) for an optimized crystal structure of Li2ZrP.

The calculation puts the formation energy at -0.050 eV/atom. Its symmetry is P4/mmm (123). As for the total energy: -18.0 eV/cell.

Cell lengths 2.774, 2.774, 8.990 Å; angles 90.00, 90.00, 90.00 degrees
Sites, in units of the cell vectors:
Li 0.000 0.000 0.054
Li 0.000 0.000 0.446
P 0.500 0.500 0.250
Zr 0.500 0.500 0.750



# 4
Density functional theory data (PBE-GGA) for an optimized crystal structure of Li2ZrP.

The calculation puts the formation energy at -0.524 eV/atom. Its symmetry is Amm2 (38). As for the total energy: -19.9 eV/cell.

Cell lengths 3.580, 3.719, 5.651 Å; angles 70.86, 90.00, 90.00 degrees
Sites, in units of the cell vectors:
Li 0.000 0.034 0.055
Li 0.500 0.450 0.224
P 0.000 0.281 0.564
Zr 0.500 0.735 0.656



What did the first record say?
Density functional theory data (PBE-GGA) for an optimized crystal structure of Li2ZrP.

The calculation puts the formation energy at -0.383 eV/atom. Its symmetry is P4mm (99). As for the total energy: -19.3 eV/cell.

Cell lengths 3.523, 3.523, 6.074 Å; angles 90.00, 90.00, 90.00 degrees
Site moments in Bohr magnetons follow the coordinates.
Sites, in units of the cell vectors:
Li 0.000 0.000 0.009  0.04
Li 0.500 0.500 0.232  0.01
P 0.000 0.000 0.557  -0.01
Zr 0.500 0.500 0.702  0.35



Repeat the third record exactly.
Density functional theory data (PBE-GGA) for an optimized crystal structure of Li2ZrP.

The calculation puts the formation energy at -0.050 eV/atom. Its symmetry is P4/mmm (123). As for the total energy: -18.0 eV/cell.

Cell lengths 2.774, 2.774, 8.990 Å; angles 90.00, 90.00, 90.00 degrees
Sites, in units of the cell vectors:
Li 0.000 0.000 0.054
Li 0.000 0.000 0.446
P 0.500 0.500 0.250
Zr 0.500 0.500 0.750